Material: NbZnRhI2
Method: DFT, PBE
State: optimized geometry

Computed properties:
Its total energy is -3.257 eV per atom. The value obtained for the raw formation energy is 1.102 eV per atom.

Geometry as POSCAR:
```
NbZnRhI2
1.0
5.392 0.000 0.000
0.000 5.156 0.000
0.000 0.000 5.392
Zn I Nb Rh
1 2 1 1
Cartesian
0.000 2.578 0.000
2.696 0.000 0.000
0.000 0.000 2.696
0.000 0.000 0.000
2.696 2.578 2.696
```